# V2SnO GGA+U relaxed
# Energy relative to the lowest polymorph listed for this composition   4.051 eV per formula unit
data_V2SnO
_chemical_formula_sum 'V8 Sn4 O4'
_cell_length_a 6.430
_cell_length_b 6.430
_cell_length_c 6.430
_cell_angle_alpha 90.00
_cell_angle_beta 90.00
_cell_angle_gamma 90.00
_symmetry_space_group_name_H-M 'F m -3 m'
_symmetry_Int_Tables_number 225
_symmetry_space_group_name_Hall '-F 4 2 3'
loop_
_atom_site_label
_atom_site_type_symbol
_atom_site_fract_x
_atom_site_fract_y
_atom_site_fract_z
_atom_site_occupancy
V1 V 0.250 0.250 0.250 1
Sn1 Sn 0.000 0.000 0.000 1
O1 O 0.000 0.000 0.500 1